P.
4
Lattice="4.5630 0.0000 0.0000 2.2815 3.9517 0.0000 2.2815 1.3172 3.7257" Properties=species:S:1:pos:R:3 comment="PaTiV2 PBE-GGA optimized geometry" total_magnetization_mub_per_fu=0.0 pbc="T T T"
Pa 0.0000 0.0000 0.0000
Ti 4.5630 2.6345 1.8628
V 2.2815 1.3172 0.9314
V 6.8445 3.9517 2.7943



Q.
4
Lattice="-0.4286 -0.8492 3.1194 -1.3176 -4.1485 -1.3104 4.3094 -1.4325 0.2021" Properties=species:S:1:pos:R:3 comment="PaTiV2 PBE-GGA optimized geometry" total_magnetization_mub_per_fu=0.0 pbc="T T T"
Pa 1.2816 -3.2151 1.0056
Ti -0.2143 -0.4246 1.5597
V 2.1547 -0.7163 0.1011
V -0.6588 -2.0743 -0.6552



Tell me which of them is the most stable. Sure, it is P.



P.
4
Lattice="-2.3102 -0.7466 2.4917 -0.0222 -3.3267 -1.0175 5.3539 -1.4235 4.5374" Properties=species:S:1:pos:R:3 comment="Pa2TiW PBE-GGA optimized geometry" total_magnetization_mub_per_fu=1.7 pbc="T T T"
Pa 4.0684 -1.0817 3.4480
Pa 1.2855 -0.3418 1.0894
W -1.1662 -2.0367 0.7371
Ti 1.5107 -2.7484 3.0058



Q.
4
Lattice="-1.6879 0.8144 -2.3174 -2.9705 -0.1401 0.1979 -1.7814 10.3204 3.0079" Properties=species:S:1:pos:R:3 comment="Pa2TiW PBE-GGA optimized geometry" total_magnetization_mub_per_fu=0.0 pbc="T T T"
Pa -1.7228 7.7329 2.0559
Pa -4.7171 3.2618 -1.1675
W -3.2200 5.4974 0.4442
Ti 0.0000 0.0000 0.0000



Tell me which of them is the most stable. Sure, it is P.



P.
4
Lattice="4.6856 0.0000 0.0000 2.3428 4.0578 0.0000 2.3428 1.3526 3.8258" Properties=species:S:1:pos:R:3 comment="PaTiW2 PBE-GGA optimized geometry" total_magnetization_mub_per_fu=0.0 pbc="T T T"
Pa 0.0000 0.0000 0.0000
W 2.3428 1.3526 0.9564
W 7.0284 4.0578 2.8693
Ti 4.6856 2.7052 1.9129



Q.
4
Lattice="3.3652 0.0000 0.0000 0.0000 3.3652 0.0000 0.0000 0.0000 6.4659" Properties=species:S:1:pos:R:3 comment="PaTiW2 PBE-GGA optimized geometry" total_magnetization_mub_per_fu=0.0 pbc="T T T"
Pa 1.6826 1.6826 3.2329
W 0.0000 0.0000 4.9168
W 0.0000 0.0000 1.5491
Ti 1.6826 1.6826 0.0000



Tell me which of them is the most stable. Sure, it is P.



P.
6
Lattice="-4.3633 -1.0949 0.6007 2.5589 -3.0122 -4.0474 1.5506 -3.0002 5.7945" Properties=species:S:1:pos:R:3 comment="Pa5Tl PBE-GGA optimized geometry" total_magnetization_mub_per_fu=0.0 pbc="T T T"
Pa 0.1078 -0.3760 0.0979
Pa -1.4319 -3.0985 1.0967
Pa 1.3916 -4.7259 1.4945
Pa 0.6100 -3.2295 -1.4555
Pa 0.8895 -1.8727 3.0479
Tl -0.6566 -4.5985 3.9939



Q.
6
Lattice="3.2265 0.0000 0.0000 0.0000 5.5558 0.0000 0.0000 -2.7779 8.3814" Properties=species:S:1:pos:R:3 comment="Pa5Tl PBE-GGA optimized geometry" total_magnetization_mub_per_fu=0.0 pbc="T T T"
Tl 0.0000 0.0000 0.0000
Pa 0.0000 2.7779 2.6781
Pa 0.0000 0.0000 5.7033
Pa 1.6132 2.7779 0.0000
Pa 1.6132 0.0000 2.9648
Pa 1.6132 2.7779 5.4166



Tell me which of them is the most stable. Sure, it is Q.



P.
3
Lattice="-0.0704 3.1675 -0.3164 -0.4714 -0.3233 -3.1323 -6.0780 -1.4673 2.6845" Properties=species:S:1:pos:R:3 comment="PaTlV PBE-GGA optimized geometry" total_magnetization_mub_per_fu=1.5 pbc="T T T"
Tl -6.2243 1.3797 -0.8240
Pa -3.3530 -0.0239 0.5071
V -1.7577 1.4115 -1.4995



Q.
6
Lattice="4.3921 -2.0641 0.3264 -0.2757 4.8452 0.3264 1.2570 0.8492 7.6562" Properties=species:S:1:pos:R:3 comment="PaTlV PBE-GGA optimized geometry" total_magnetization_mub_per_fu=0.5 pbc="T T T"
Tl 3.7988 2.5664 3.5588
Tl 1.5747 1.0638 4.7502
V 3.4410 2.3247 6.8314
V 1.9325 1.3055 1.4776
Pa 3.5859 -0.8707 0.3264
Pa 0.5306 3.6517 0.3264



Tell me which of them is the most stable. Sure, it is P.



P.
4
Lattice="3.3228 0.0000 0.0000 1.6614 2.8776 0.0000 1.6614 0.9592 11.9111" Properties=species:S:1:pos:R:3 comment="Y2PaTl PBE-GGA optimized geometry" total_magnetization_mub_per_fu=0.0 pbc="T T T"
Y 1.6614 0.9592 8.6602
Y 4.9842 2.8776 3.2509
Tl 3.3228 1.9184 5.9555
Pa 0.0000 0.0000 0.0000



Q.
4
Lattice="-2.1756 -2.7036 0.2865 1.7237 -1.6555 -2.5324 5.5774 -3.8211 6.2942" Properties=species:S:1:pos:R:3 comment="Y2PaTl PBE-GGA optimized geometry" total_magnetization_mub_per_fu=0.5 pbc="T T T"
Y 4.2269 -2.8958 4.7701
Y 1.3505 -0.9252 1.5241
Tl -0.2259 -2.1795 -1.1229
Pa 2.5628 -4.0901 2.0242



Tell me which of them is the most stable. Sure, it is Q.



P.
3
Lattice="-1.9846 1.0297 -2.3011 -3.6610 -2.7238 1.9387 0.6776 4.6743 1.5073" Properties=species:S:1:pos:R:3 comment="PaTlZn PBE-GGA optimized geometry" total_magnetization_mub_per_fu=0.9 pbc="T T T"
Tl -0.3302 0.1713 -0.3829
Pa -3.5381 0.4288 0.2606
Zn -1.0998 2.3801 1.2672



Q.
6
Lattice="-3.1029 0.5066 -4.5108 -4.9143 -4.7148 -0.5001 -2.6236 6.2476 -0.8446" Properties=species:S:1:pos:R:3 comment="PaTlZn PBE-GGA optimized geometry" total_magnetization_mub_per_fu=1.6 pbc="T T T"
Pa -4.9375 0.8817 -4.7744
Pa -7.2548 1.4110 -3.3365
Zn -4.9734 6.5195 -4.2243
Zn -4.5221 1.0011 -1.8035
Tl -3.4781 -2.1740 -1.2027
Tl -6.7565 -1.5211 -2.2252



R.
3
Lattice="-2.8682 -0.7687 0.5050 -0.4296 -0.3427 -2.9615 3.9338 -7.5701 1.8370" Properties=species:S:1:pos:R:3 comment="PaTlZn PBE-GGA optimized geometry" total_magnetization_mub_per_fu=0.9 pbc="T T T"
Tl -0.3607 -5.1369 -0.8850
Pa 0.5571 -1.9813 0.1484
Zn 0.3901 -7.8069 -0.6849



Tell me which of them is the most stable. Sure, it is P.



P.
4
Lattice="-0.8847 -2.3282 3.3986 -3.5796 -1.8053 -2.1685 2.6544 -3.3426 -1.5989" Properties=species:S:1:pos:R:3 comment="PaTlZn2 PBE-GGA optimized geometry" total_magnetization_mub_per_fu=0.4 pbc="T T T"
Tl -0.4423 -1.1641 1.6993
Pa -0.9049 -3.7381 -0.1844
Zn 1.3272 -1.6713 -0.7994
Zn -1.7898 -0.9027 -1.0843



Q.
4
Lattice="4.9140 0.0000 0.0000 2.4570 4.2557 0.0000 2.4570 1.4186 4.0123" Properties=species:S:1:pos:R:3 comment="PaTlZn2 PBE-GGA optimized geometry" total_magnetization_mub_per_fu=0.0 pbc="T T T"
Tl 0.0000 0.0000 0.0000
Pa 4.9140 2.8371 2.0062
Zn 2.4570 1.4186 1.0031
Zn 7.3711 4.2557 3.0092



Tell me which of them is the most stable. Sure, it is P.



P.
6
Lattice="3.7644 0.0350 -0.6925 1.7479 5.2952 -0.8037 1.3534 -1.6679 7.2790" Properties=species:S:1:pos:R:3 comment="ZrPaTl PBE-GGA optimized geometry" total_magnetization_mub_per_fu=0.0 pbc="T T T"
Zr 4.9017 4.2133 0.2169
Zr 3.3016 2.1501 1.9886
Pa 5.6125 3.1442 4.0279
Pa 3.9442 1.5513 5.4567
Tl 1.6615 -0.0311 3.5445
Tl 1.0296 1.0641 0.1570



Q.
3
Lattice="-2.1589 0.5018 2.2015 2.9185 -2.6926 3.4758 0.6676 5.2077 -0.5324" Properties=species:S:1:pos:R:3 comment="ZrPaTl PBE-GGA optimized geometry" total_magnetization_mub_per_fu=0.5 pbc="T T T"
Tl -0.3576 0.0831 0.3646
Pa 0.7284 0.2755 3.6079
Zr 1.0563 2.6583 1.1724



R.
3
Lattice="3.1828 0.0000 0.0000 0.0000 3.1828 0.0000 -1.5914 -1.5914 7.3159" Properties=species:S:1:pos:R:3 comment="ZrPaTl PBE-GGA optimized geometry" total_magnetization_mub_per_fu=0.0 pbc="T T T"
Tl 1.5914 1.5914 1.6357
Pa 0.0000 0.0000 4.2116
Zr 1.5914 1.5914 6.5896



S.
6
Lattice="-1.7428 2.7156 -2.8148 -1.2306 -3.3059 -2.4273 -5.6262 -0.0478 6.6943" Properties=species:S:1:pos:R:3 comment="ZrPaTl PBE-GGA optimized geometry" total_magnetization_mub_per_fu=0.0 pbc="T T T"
Zr -2.3377 -0.1127 1.3387
Zr -6.2619 -0.5254 0.1134
Pa -0.6153 -1.6529 -1.2137
Pa -0.8714 1.3578 -1.4074
Tl -3.6615 -0.4000 -1.3757
Tl -4.9381 -0.2381 2.8278



Tell me which of them is the most stable. Sure, it is R.



P.
4
Lattice="3.4053 0.0000 0.0000 0.0000 5.5814 0.0000 0.0000 0.0000 6.0361" Properties=species:S:1:pos:R:3 comment="Tm3Pa PBE-GGA optimized geometry" total_magnetization_mub_per_fu=0.3 pbc="T T T"
Pa 0.0000 0.0000 6.0213
Tm 0.0000 2.7907 1.9402
Tm 1.7026 0.0000 3.0881
Tm 1.7026 2.7907 5.0459



Q.
4
Lattice="5.4827 0.0000 0.0000 2.7413 4.7482 0.0000 2.7413 1.5827 4.4766" Properties=species:S:1:pos:R:3 comment="Tm3Pa PBE-GGA optimized geometry" total_magnetization_mub_per_fu=0.0 pbc="T T T"
Pa 5.4827 3.1654 2.2383
Tm 0.0000 0.0000 0.0000
Tm 8.2240 4.7482 3.3575
Tm 2.7413 1.5827 1.1192



Tell me which of them is the most stable. Sure, it is P.



P.
4
Lattice="-0.6805 1.5152 4.5518 4.4272 -1.5724 1.1853 1.8478 4.3254 -1.1636" Properties=species:S:1:pos:R:3 comment="Tm3Pa PBE-GGA optimized geometry" total_magnetization_mub_per_fu=0.0 pbc="T T T"
Pa 0.0000 0.0000 0.0000
Tm 3.1375 1.3765 0.0108
Tm 0.5837 2.9203 1.6941
Tm 1.8734 -0.0286 2.8685



Q.
4
Lattice="4.8753 0.0000 0.0000 0.0000 4.8753 0.0000 -2.4376 -2.4376 4.8293" Properties=species:S:1:pos:R:3 comment="Tm3Pa PBE-GGA optimized geometry" total_magnetization_mub_per_fu=0.0 pbc="T T T"
Pa 0.0000 0.0000 0.0000
Tm 2.4376 0.0000 2.4146
Tm 0.0000 2.4376 2.4146
Tm 2.4376 2.4376 0.0000



Tell me which of them is the most stable. Sure, it is P.



P.
3
Lattice="3.3796 0.0016 0.0006 0.0016 3.3796 0.0006 -1.6895 -1.6895 7.4059" Properties=species:S:1:pos:R:3 comment="Tm2Pa PBE-GGA optimized geometry" total_magnetization_mub_per_fu=0.1 pbc="T T T"
Pa 1.6906 1.6906 0.0006
Tm 0.0010 0.0010 2.3497
Tm 1.6907 1.6907 5.0573



Q.
3
Lattice="-3.2988 0.8396 -0.2375 -2.0132 -1.6211 -2.2284 -3.6297 -5.9045 4.9596" Properties=species:S:1:pos:R:3 comment="Tm2Pa PBE-GGA optimized geometry" total_magnetization_mub_per_fu=0.0 pbc="T T T"
Tm -5.3612 -5.1528 3.6579
Tm -2.6260 -2.6082 -0.6489
Pa -2.9871 -3.0698 2.6191



Tell me which of them is the most stable. Sure, it is Q.